# 1
# Y2MgS4, single point on PBEsol structure, DFT SCAN
data_Y2MgS4
_symmetry_space_group_name_H-M 'P 1'
_symmetry_Int_Tables_number 1
_symmetry_space_group_name_Hall 'P 1'
_cell_length_a 3.806
_cell_length_b 12.484
_cell_length_c 13.142
_cell_angle_alpha 90.00
_cell_angle_beta 90.00
_cell_angle_gamma 90.00
loop_
_atom_site_label
_atom_site_type_symbol
_atom_site_fract_x
_atom_site_fract_y
_atom_site_fract_z
Y1 Y 0.750 0.383 0.423
Y2 Y 0.250 0.617 0.577
Y3 Y 0.250 0.117 0.923
Y4 Y 0.750 0.883 0.077
Y5 Y 0.750 0.361 0.795
Y6 Y 0.250 0.639 0.205
Y7 Y 0.250 0.139 0.295
Y8 Y 0.750 0.861 0.705
Mg1 Mg 0.250 0.386 0.051
Mg2 Mg 0.750 0.614 0.949
Mg3 Mg 0.750 0.114 0.551
Mg4 Mg 0.250 0.886 0.449
S1 S 0.250 0.490 0.884
S2 S 0.750 0.510 0.116
S3 S 0.750 0.010 0.384
S4 S 0.250 0.990 0.616
S5 S 0.750 0.472 0.616
S6 S 0.250 0.528 0.384
S7 S 0.250 0.028 0.116
S8 S 0.750 0.972 0.884
S9 S 0.750 0.275 0.247
S10 S 0.250 0.725 0.753
S11 S 0.250 0.225 0.747
S12 S 0.750 0.775 0.253
S13 S 0.250 0.239 0.484
S14 S 0.750 0.761 0.516
S15 S 0.750 0.261 0.984
S16 S 0.250 0.739 0.016
# crystal system = orthorhombic
# formation energy from raw total energies = -2.1272 eV/atom
# final energy = -16.29 eV per atom
# total moment = 0.00 Bohr magnetons per cell
# excess energy over the best structure of this formula in the dataset = 66 meV/atom

# 2
# NaLaAu2, single point on PBEsol structure, DFT SCAN
data_NaLaAu2
_symmetry_space_group_name_H-M 'P 1'
_symmetry_Int_Tables_number 1
_symmetry_space_group_name_Hall 'P 1'
_cell_length_a 5.070
_cell_length_b 5.070
_cell_length_c 5.070
_cell_angle_alpha 60.00
_cell_angle_beta 60.00
_cell_angle_gamma 60.00
loop_
_atom_site_label
_atom_site_type_symbol
_atom_site_fract_x
_atom_site_fract_y
_atom_site_fract_z
Na1 Na 0.000 0.000 0.000
Au1 Au 0.250 0.250 0.250
Au2 Au 0.750 0.750 0.750
La1 La 0.500 0.500 0.500
# crystal system = cubic
# final energy = -47.20 eV per atom
# total moment = 0.00 Bohr magnetons per cell
# energy of formation = -789.3 meV/atom

# 3
# SrMgSi2, single point on PBEsol structure, DFT SCAN
data_SrMgSi2
_symmetry_space_group_name_H-M 'P 1'
_symmetry_Int_Tables_number 1
_symmetry_space_group_name_Hall 'P 1'
_cell_length_a 4.392
_cell_length_b 11.342
_cell_length_c 14.258
_cell_angle_alpha 90.00
_cell_angle_beta 90.00
_cell_angle_gamma 90.00
loop_
_atom_site_label
_atom_site_type_symbol
_atom_site_fract_x
_atom_site_fract_y
_atom_site_fract_z
Mg1 Mg 0.750 0.558 0.940
Mg2 Mg 0.250 0.058 0.560
Mg3 Mg 0.250 0.442 0.060
Mg4 Mg 0.750 0.942 0.440
Mg5 Mg 0.750 0.321 0.191
Mg6 Mg 0.250 0.821 0.309
Mg7 Mg 0.250 0.679 0.809
Mg8 Mg 0.750 0.179 0.691
Si1 Si 0.750 0.973 0.968
Si2 Si 0.250 0.473 0.532
Si3 Si 0.250 0.027 0.032
Si4 Si 0.750 0.527 0.468
Si5 Si 0.750 0.789 0.893
Si6 Si 0.250 0.289 0.607
Si7 Si 0.250 0.211 0.107
Si8 Si 0.750 0.711 0.393
Si9 Si 0.750 0.773 0.723
Si10 Si 0.250 0.273 0.777
Si11 Si 0.250 0.227 0.277
Si12 Si 0.750 0.727 0.223
Si13 Si 0.750 0.951 0.632
Si14 Si 0.250 0.451 0.868
Si15 Si 0.250 0.049 0.368
Si16 Si 0.750 0.549 0.132
Sr1 Sr 0.750 0.475 0.696
Sr2 Sr 0.250 0.975 0.804
Sr3 Sr 0.250 0.525 0.304
Sr4 Sr 0.750 0.025 0.196
Sr5 Sr 0.750 0.241 0.939
Sr6 Sr 0.250 0.741 0.561
Sr7 Sr 0.250 0.759 0.061
Sr8 Sr 0.750 0.259 0.439
# crystal system = orthorhombic
# formation energy from raw total energies = -0.3788 eV/atom
# final energy = -12.20 eV per atom
# total moment = 0.00 Bohr magnetons per cell

# 4
# TiNiP2O8, single point on PBEsol structure, DFT SCAN
data_TiNiP2O8
_symmetry_space_group_name_H-M 'P 1'
_symmetry_Int_Tables_number 1
_symmetry_space_group_name_Hall 'P 1'
_cell_length_a 8.345
_cell_length_b 8.345
_cell_length_c 8.345
_cell_angle_alpha 61.47
_cell_angle_beta 61.47
_cell_angle_gamma 61.47
loop_
_atom_site_label
_atom_site_type_symbol
_atom_site_fract_x
_atom_site_fract_y
_atom_site_fract_z
Ti1 Ti 0.356 0.356 0.356
Ti2 Ti 0.141 0.141 0.141
Ti3 Ti 0.643 0.643 0.643
Ni1 Ni 0.999 0.999 0.999
Ni2 Ni 0.860 0.860 0.860
Ni3 Ni 0.498 0.498 0.498
P1 P 0.459 0.752 0.045
P2 P 0.752 0.045 0.459
P3 P 0.045 0.459 0.752
P4 P 0.953 0.547 0.248
P5 P 0.248 0.953 0.547
P6 P 0.547 0.248 0.953
O1 O 0.680 0.883 0.506
O2 O 0.883 0.506 0.680
O3 O 0.506 0.680 0.883
O4 O 0.257 0.912 0.051
O5 O 0.614 0.816 0.015
O6 O 0.429 0.592 0.247
O7 O 0.912 0.051 0.257
O8 O 0.592 0.247 0.429
O9 O 0.000 0.382 0.180
O10 O 0.247 0.429 0.592
O11 O 0.952 0.742 0.092
O12 O 0.180 0.000 0.382
O13 O 0.816 0.015 0.614
O14 O 0.051 0.257 0.912
O15 O 0.752 0.558 0.408
O16 O 0.015 0.614 0.816
O17 O 0.408 0.752 0.558
O18 O 0.092 0.952 0.742
O19 O 0.558 0.408 0.752
O20 O 0.382 0.180 0.000
O21 O 0.742 0.092 0.952
O22 O 0.485 0.333 0.110
O23 O 0.110 0.485 0.333
O24 O 0.333 0.110 0.485
# crystal system = trigonal
# formation energy from raw total energies = -2.5122 eV/atom
# final energy = -11.08 eV per atom
# total moment = 6.00 Bohr magnetons per cell
# excess energy over the best structure of this formula in the dataset = 0 meV/atom

# 5
# BaBeO3, single point on PBEsol structure, DFT SCAN
data_BaBeO3
_symmetry_space_group_name_H-M 'P 1'
_symmetry_Int_Tables_number 1
_symmetry_space_group_name_Hall 'P 1'
_cell_length_a 3.832
_cell_length_b 3.832
_cell_length_c 3.832
_cell_angle_alpha 90.00
_cell_angle_beta 90.00
_cell_angle_gamma 90.00
loop_
_atom_site_label
_atom_site_type_symbol
_atom_site_fract_x
_atom_site_fract_y
_atom_site_fract_z
Be1 Be 0.500 0.500 0.500
Ba1 Ba 0.000 0.000 0.000
O1 O 0.500 0.500 0.000
O2 O 0.500 0.000 0.500
O3 O 0.000 0.500 0.500
# crystal system = cubic
# formation energy from raw total energies = -1.8009 eV/atom
# final energy = -14.32 eV per atom
# total moment = 2.00 Bohr magnetons per cell

# 6
# TaSi2Ir, single point on PBEsol structure, DFT SCAN
data_TaSi2Ir
_symmetry_space_group_name_H-M 'P 1'
_symmetry_Int_Tables_number 1
_symmetry_space_group_name_Hall 'P 1'
_cell_length_a 4.376
_cell_length_b 4.376
_cell_length_c 4.376
_cell_angle_alpha 60.00
_cell_angle_beta 60.00
_cell_angle_gamma 60.00
loop_
_atom_site_label
_atom_site_type_symbol
_atom_site_fract_x
_atom_site_fract_y
_atom_site_fract_z
Ir1 Ir 0.500 0.500 0.500
Si1 Si 0.000 0.000 0.000
Si2 Si 0.750 0.750 0.750
Ta1 Ta 0.250 0.250 0.250
# crystal system = cubic
# formation energy from raw total energies = 0.0303 eV/atom
# final energy = -39.40 eV per atom
# total moment = 0.00 Bohr magnetons per cell

# 7
# LiHfGe3, single point on PBEsol structure, DFT SCAN
data_LiHfGe3
_symmetry_space_group_name_H-M 'P 1'
_symmetry_Int_Tables_number 1
_symmetry_space_group_name_Hall 'P 1'
_cell_length_a 5.103
_cell_length_b 5.103
_cell_length_c 5.103
_cell_angle_alpha 90.00
_cell_angle_beta 90.00
_cell_angle_gamma 90.00
loop_
_atom_site_label
_atom_site_type_symbol
_atom_site_fract_x
_atom_site_fract_y
_atom_site_fract_z
Ge1 Ge 0.000 0.500 0.000
Ge2 Ge 0.000 0.000 0.500
Ge3 Ge 0.500 0.000 0.000
Hf1 Hf 0.000 0.000 0.000
Li1 Li 0.500 0.500 0.500
# crystal system = cubic
# final energy = -24.21 eV per atom
# total moment = 0.00 Bohr magnetons per cell
# energy of formation = 257.2 meV/atom

# 8
# ScReOs2, single point on PBEsol structure, DFT SCAN
data_ScReOs2
_symmetry_space_group_name_H-M 'P 1'
_symmetry_Int_Tables_number 1
_symmetry_space_group_name_Hall 'P 1'
_cell_length_a 3.846
_cell_length_b 3.846
_cell_length_c 4.913
_cell_angle_alpha 113.05
_cell_angle_beta 113.05
_cell_angle_gamma 90.00
loop_
_atom_site_label
_atom_site_type_symbol
_atom_site_fract_x
_atom_site_fract_y
_atom_site_fract_z
Os1 Os 0.000 0.000 0.000
Os2 Os 0.750 0.250 0.500
Re1 Re 0.500 0.500 0.000
Sc1 Sc 0.250 0.750 0.500
# crystal system = tetragonal
# final energy = -57.17 eV per atom
# total moment = 0.00 Bohr magnetons per cell
# energy of formation = 103.3 meV/atom